HoTm8In6 | PBE | optimized geometry

Results
Size of the total moment, μB per formula unit: 0.0
E_tot, eV per cell: -178.763
Energy of formation from the pure elements, meV/atom: -187.1

Structure (CIF):
```
data_HoTm8In6
_space_group_name_H-M_alt 'R -3'
_space_group_IT_number 148
_space_group_name_Hall '-R 3'
_cell_length_a 8.9232
_cell_length_b 8.9232
_cell_length_c 19.3259
_cell_angle_alpha 90.00
_cell_angle_beta 90.00
_cell_angle_gamma 120.00
loop_
_atom_site_label
_atom_site_type_symbol
_atom_site_fract_x
_atom_site_fract_y
_atom_site_fract_z
_atom_site_occupancy
Ho1 Ho 0.0000 0.0000 0.0000 1
Tm1 Tm 0.0000 0.0000 0.3334 1
Tm2 Tm 0.0004 0.3332 0.2206 1
In1 In 0.0001 0.3342 0.0608 1
```